Record 1
Li2PRh4 | Alexandria | PBE | relaxed; ρ = 6.5 g/cm3; energy relative to the elements = 0.10 eV/atom; M_tot = 0.3 μB/cell
1.0
-2.1683 2.1683 6.1893
2.1683 -2.1683 6.1893
2.1683 2.1683 -6.1893
Li P Rh
2 1 4
Direct
0.1242 0.1242 0.0000 Li
0.8758 0.8758 0.0000 Li
0.5000 0.5000 0.0000 P
0.0000 0.5000 0.5000 Rh
0.3252 0.3252 0.0000 Rh
0.5000 0.0000 0.5000 Rh
0.6748 0.6748 0.0000 Rh

Record 2
LiPRh2 | Alexandria | PBE | relaxed; ρ = 7.6 g/cm3; energy relative to the elements = -0.46 eV/atom; M_tot = 0.0 μB/cell
1.0
-1.4235 1.9412 4.8349
1.4235 -1.9412 4.8349
1.4235 1.9412 -4.8349
Li P Rh
1 1 2
Direct
0.0000 0.0000 0.0000 Li
0.2443 0.7443 0.5000 P
0.4283 0.4283 0.0000 Rh
0.6895 0.1895 0.5000 Rh

Record 3
LiP4Rh | Alexandria | PBE | relaxed; ρ = 4.4 g/cm3; energy relative to the elements = 0.35 eV/atom; M_tot = 0.0 μB/cell
1.0
0.0000 3.5430 3.5430
3.5430 0.0000 3.5430
3.5430 3.5430 0.0000
Li P Rh
1 4 1
Direct
0.0000 0.0000 0.0000 Li
0.1074 0.6309 0.6309 P
0.6309 0.1074 0.6309 P
0.6309 0.6309 0.1074 P
0.6309 0.6309 0.6309 P
0.2500 0.2500 0.2500 Rh

Record 4
LiPRh2 | Alexandria | PBE | relaxed; ρ = 6.6 g/cm3; energy relative to the elements = -0.16 eV/atom; M_tot = 0.0 μB/cell
1.0
-1.3978 2.1177 5.2172
1.3978 -2.1177 5.2172
1.3978 2.1177 -5.2172
Li P Rh
1 1 2
Direct
0.0000 0.0000 0.0000 Li
0.5000 0.5000 0.0000 P
0.2948 0.2948 0.0000 Rh
0.7052 0.7052 0.0000 Rh

Record 5
LiPRh2 | Alexandria | PBE | relaxed; ρ = 8.3 g/cm3; energy relative to the elements = -0.55 eV/atom; M_tot = 0.0 μB/cell
1.0
4.0382 0.0000 0.0000
0.0000 4.0382 0.0000
0.0000 0.0000 2.9813
Li P Rh
1 1 2
Direct
0.0000 0.0000 0.0000 Li
0.5000 0.5000 0.0000 P
0.0000 0.5000 0.5000 Rh
0.5000 0.0000 0.5000 Rh

Record 6
LiPRh2 | Alexandria | PBE | relaxed; ρ = 7.9 g/cm3; energy relative to the elements = -0.37 eV/atom; M_tot = 0.0 μB/cell
1.0
2.8069 0.0000 0.0000
0.0000 3.7935 0.0000
0.0000 0.0000 4.8389
Li P Rh
1 1 2
Direct
0.0000 0.0000 0.0000 Li
0.5000 0.5000 0.3078 P
0.0000 0.0000 0.4879 Rh
0.5000 0.5000 0.8173 Rh

Record 7
LiPRh2 | Alexandria | PBE | relaxed; ρ = 8.0 g/cm3; energy relative to the elements = -0.36 eV/atom; M_tot = 0.0 μB/cell
1.0
-1.7621 1.7621 4.0833
1.7621 -1.7621 4.0833
1.7621 1.7621 -4.0833
Li P Rh
1 1 2
Direct
0.0000 0.0000 0.0000 Li
0.2500 0.7500 0.5000 P
0.5000 0.5000 0.0000 Rh
0.7500 0.2500 0.5000 Rh

Record 8
LiPRh2 | Alexandria | PBE | relaxed; ρ = 7.7 g/cm3; energy relative to the elements = -0.38 eV/atom; M_tot = 0.0 μB/cell
1.0
3.8623 -1.4394 0.0000
3.8623 1.4394 0.0000
-0.9732 0.0000 4.7234
Li P Rh
1 1 2
Direct
0.0000 0.0000 0.0000 Li
0.5000 0.5000 0.5000 P
0.2369 0.2369 0.7340 Rh
0.7631 0.7631 0.2660 Rh